Record 1
GdYZnPd, optimized geometry, DFT PBE-GGA; DOS(E_F) = 2.484 states/eV/cell; M_tot = 7.100 μB per cell; raw total energy = -7.3378 eV per atom
1.0
-4.444 -0.295 -2.356
-3.425 -3.381 1.495
-4.196 1.528 2.335
Y Zn Gd Pd
1 1 1 1
Direct
0.750 0.750 0.750 Y
0.500 0.500 0.500 Zn
0.250 0.250 0.250 Gd
0.000 0.000 0.000 Pd


Record 2
Gd2ZnPd, optimized geometry, DFT PBE-GGA; DOS(E_F) = 2.737 states/eV/cell; M_tot = 14.190 μB per cell; raw total energy = -9.2276 eV per atom; energy relative to the lowest polymorph listed for this composition = 0.0234 eV per atom
1.0
5.058 0.000 0.000
2.529 4.380 0.000
2.529 1.460 4.129
Zn Gd Pd
1 2 1
Direct
0.500 0.500 0.500 Zn
0.250 0.250 0.250 Gd
0.750 0.750 0.750 Gd
0.000 0.000 0.000 Pd


Record 3
GdZn4Pd, optimized geometry, DFT PBE-GGA; DOS(E_F) = 4.520 states/eV/cell; M_tot = 7.191 μB per cell; raw total energy = -4.4351 eV per atom
1.0
-2.168 -3.237 -3.500
2.837 -1.787 -4.023
1.441 -5.032 -0.157
Zn Gd Pd
4 1 1
Direct
0.626 0.626 0.122 Zn
0.626 0.122 0.626 Zn
0.626 0.626 0.626 Zn
0.122 0.626 0.626 Zn
0.250 0.250 0.250 Gd
0.000 0.000 0.000 Pd


Record 4
Gd2ZnPd, optimized geometry, DFT PBE-GGA; DOS(E_F) = 5.735 states/eV/cell; M_tot = 14.399 μB per cell; raw total energy = -8.7254 eV per atom; energy relative to the lowest polymorph listed for this composition = 0.5256 eV per atom
1.0
4.086 0.000 0.000
2.043 3.538 0.000
2.043 1.179 9.268
Zn Gd Pd
1 2 1
Direct
0.000 0.000 0.000 Zn
0.111 0.111 0.666 Gd
0.889 0.889 0.334 Gd
0.500 0.500 0.500 Pd


Record 5
Gd2ZnPd, optimized geometry, DFT PBE-GGA; DOS(E_F) = 3.138 states/eV/cell; M_tot = 14.406 μB per cell; raw total energy = -9.2510 eV per atom; energy relative to the lowest polymorph listed for this composition = 0.0000 eV per atom
1.0
-0.786 -2.407 2.554
3.144 -1.644 -0.582
3.057 4.134 4.836
Zn Gd Pd
1 2 1
Direct
0.500 0.500 0.500 Zn
0.000 0.000 0.755 Gd
0.000 0.000 0.245 Gd
0.500 0.500 0.000 Pd


Record 6
GdZrZnPd, optimized geometry, DFT PBE-GGA; DOS(E_F) = 4.265 states/eV/cell; M_tot = 7.885 μB per cell; raw total energy = -7.6690 eV per atom
1.0
-4.045 -1.990 1.922
0.212 -4.410 2.128
-0.462 -0.399 4.863
Zn Gd Zr Pd
1 1 1 1
Direct
0.500 0.500 0.500 Zn
0.250 0.250 0.250 Gd
0.750 0.750 0.750 Zr
0.000 0.000 0.000 Pd


Record 7
Gd2ZrPd, optimized geometry, DFT PBE-GGA; DOS(E_F) = 4.623 states/eV/cell; M_tot = 14.407 μB per cell; raw total energy = -10.8065 eV per atom
1.0
3.533 0.000 0.000
0.000 3.533 0.000
0.000 0.000 7.940
Gd Zr Pd
2 1 1
Direct
0.000 0.000 0.780 Gd
0.000 0.000 0.220 Gd
0.500 0.500 0.500 Zr
0.500 0.500 0.000 Pd


Record 8
Pm2Gd, optimized geometry, DFT PBE-GGA; DOS(E_F) = 4.886 states/eV/cell; M_tot = 7.457 μB per cell; raw total energy = -7.8458 eV per atom; energy relative to the lowest polymorph listed for this composition = 0.0000 eV per atom
1.0
-0.422 -0.476 3.592
-3.412 -1.166 -0.555
4.466 -6.332 -2.167
Gd Pm
1 2
Direct
0.000 0.000 0.000 Gd
0.667 0.667 0.334 Pm
0.333 0.333 0.666 Pm


Record 9
Pm3Gd, optimized geometry, DFT PBE-GGA; DOS(E_F) = 7.034 states/eV/cell; M_tot = 7.620 μB per cell; raw total energy = -7.0623 eV per atom; energy relative to the lowest polymorph listed for this composition = 0.0100 eV per atom
1.0
3.675 0.000 0.000
0.000 6.374 0.000
-1.837 -3.187 5.865
Gd Pm
1 3
Direct
0.000 0.001 0.000 Gd
0.250 0.582 0.499 Pm
0.500 0.501 0.000 Pm
0.750 0.083 0.501 Pm


Record 10
Pm2Gd, optimized geometry, DFT PBE-GGA; DOS(E_F) = 12.300 states/eV/cell; M_tot = 15.053 μB per cell; raw total energy = -7.6235 eV per atom; energy relative to the lowest polymorph listed for this composition = 0.2223 eV per atom
1.0
-6.024 -2.853 -0.500
-0.948 -5.086 -4.232
-0.980 -6.175 2.363
Gd Pm
2 4
Direct
0.000 0.000 0.000 Gd
0.250 0.250 0.250 Gd
0.125 0.625 0.625 Pm
0.625 0.125 0.625 Pm
0.625 0.625 0.625 Pm
0.625 0.625 0.125 Pm


Record 11
Pm3Gd, optimized geometry, DFT PBE-GGA; DOS(E_F) = 7.275 states/eV/cell; M_tot = 9.011 μB per cell; raw total energy = -6.9645 eV per atom; energy relative to the lowest polymorph listed for this composition = 0.1078 eV per atom
1.0
5.782 0.000 0.000
2.891 5.007 0.000
2.891 1.669 4.721
Gd Pm
1 3
Direct
0.500 0.500 0.500 Gd
0.000 0.000 0.000 Pm
0.750 0.750 0.750 Pm
0.250 0.250 0.250 Pm


Record 12
PmGd, optimized geometry, DFT PBE-GGA; DOS(E_F) = 7.543 states/eV/cell; M_tot = 14.931 μB per cell; raw total energy = -9.3925 eV per atom; energy relative to the lowest polymorph listed for this composition = 0.0000 eV per atom
1.0
3.591 0.000 -0.529
0.000 3.629 0.000
-2.106 0.000 10.594
Gd Pm
2 2
Direct
0.626 0.750 0.876 Gd
0.374 0.250 0.124 Gd
0.876 0.250 0.626 Pm
0.124 0.750 0.374 Pm


Formation enthalpy at 0 K readings, ordered: -56.43, -55.04, -36.04, -6.58, -57.30, -38.12, -31.92, 1.44, 2.01, 22.89, 11.45, 2.25 kJ/mol of atoms